Computed, not measured: an optimized crystal structure of KBaAuS2 at the GGA-PBE level of DFT.

a b c (Å): 5.0515 7.3741 8.5652
angles (deg): 104.05 90.00 90.00
Last column: nearest neighbours and their distance in Å.
Positions (direct):
1 Ba 0.2225 0.5000 0.7500  6 S 3.16-3.43
2 Ba 0.7775 0.5000 0.2500  6 S 3.16-3.43
3 S 0.2422 0.2795 0.0399  1 Au 2.35
4 S 0.7578 0.7205 0.9601  1 Au 2.35
5 S 0.7578 0.2795 0.5399  1 Au 2.35
6 S 0.2422 0.7205 0.4601  1 Au 2.35
7 Au 0.0000 0.0000 0.5000  2 S 2.35
8 Au 0.0000 0.0000 0.0000  2 S 2.35
9 K 0.4695 0.0000 0.2500  4 S 3.17-3.26, 4 Au 3.20-3.43
10 K 0.5305 0.0000 0.7500  4 S 3.17-3.26, 4 Au 3.20-3.43

The crystal system is monoclinic. Its space group is P2/c. Its formation energy (no corrections) is -1.2469 eV/atom.


Computed, not measured: an optimized crystal structure of Y2InSe at the GGA-PBE level of DFT.

a b c (Å): 3.9306 3.9306 8.3291
angles (deg): 76.45 76.45 59.90
Last column: nearest neighbours and their distance in Å.
Positions (direct):
1 Se 0.2500 0.2500 0.2500  6 Y 2.87
2 Y 0.9894 0.9894 0.0303  3 Se 2.87, 3 In 3.19-3.20
3 Y 0.5106 0.5106 0.4697  3 Se 2.87, 3 In 3.19-3.20
4 In 0.7500 0.7500 0.7500  6 Y 3.19-3.20

The energy above the lowest structure with this stoichiometry comes out at 27 meV/atom. The crystal system is monoclinic. Its space group is C2/m. Its formation energy (no corrections) is -1.1104 eV/atom.


Computed, not measured: an optimized crystal structure of Pr4Er5Mg2 at the GGA-PBE level of DFT.

a b c (Å): 3.5182 11.6136 14.4632
angles (deg): 139.95 96.22 99.72
Last column: nearest neighbours and their distance in Å.
Positions (direct):
1 Pr 0.1499 0.7568 0.0593  4 Mg 3.44-3.59, 4 Pr 3.52-3.72, 3 Er 3.59-3.77
2 Pr 0.4222 0.5606 0.7304  5 Er 3.19-3.54, 1 Mg 3.44, 2 Pr 3.52
3 Pr 0.8501 0.2432 0.9407  4 Mg 3.44-3.59, 4 Pr 3.52-3.72, 3 Er 3.59-3.77
4 Pr 0.5778 0.4394 0.2696  5 Er 3.19-3.54, 1 Mg 3.44, 2 Pr 3.52
5 Mg 0.2890 0.3066 0.7744  4 Er 3.41-3.46, 5 Pr 3.44-3.59, 2 Mg 3.52
6 Mg 0.7110 0.6934 0.2256  4 Er 3.41-3.46, 5 Pr 3.44-3.59, 2 Mg 3.52
7 Er 0.9137 0.7510 0.6494  3 Pr 3.37-3.77, 6 Er 3.40-3.76
8 Er 0.5000 0.0000 0.0000  2 Pr 3.19, 4 Er 3.40-3.52
9 Er 0.0863 0.2490 0.3506  3 Pr 3.37-3.77, 6 Er 3.40-3.76
10 Er 0.4379 0.8830 0.5302  4 Mg 3.41-3.46, 5 Er 3.41-3.54, 3 Pr 3.53-3.59
11 Er 0.5621 0.1170 0.4698  4 Mg 3.41-3.46, 5 Er 3.41-3.54, 3 Pr 3.53-3.59

The crystal system is triclinic. For the energy, the calculation gives -4.0487 eV/atom. Its space group is P-1.


Computed, not measured: an optimized crystal structure of Li3AgSn4 at the GGA-PBE level of DFT.

a b c (Å): 4.3422 4.4405 8.8124
angles (deg): 90.00 90.00 90.00
Last column: nearest neighbours and their distance in Å.
Positions (direct):
1 Li 0.5000 0.0000 0.2428  8 Sn 3.05-3.14, 2 Ag 3.08, 2 Li 3.17
2 Li 0.5000 0.5000 0.5000  8 Sn 3.09-3.11, 4 Li 3.17
3 Li 0.5000 0.0000 0.7572  8 Sn 3.05-3.14, 2 Ag 3.08, 2 Li 3.17
4 Sn 0.0000 0.0000 0.5000  8 Li 3.11-3.14, 4 Sn 3.12
5 Sn 0.0000 0.0000 0.0000  4 Li 3.05, 4 Ag 3.11, 4 Sn 3.14
6 Sn 0.0000 0.5000 0.2513  6 Li 3.09-3.11, 2 Ag 3.10, 4 Sn 3.12-3.14
7 Sn 0.0000 0.5000 0.7487  6 Li 3.09-3.11, 2 Ag 3.10, 4 Sn 3.12-3.14
8 Ag 0.5000 0.5000 0.0000  4 Li 3.08, 8 Sn 3.10-3.11

The energy above the lowest structure with this stoichiometry comes out at 0 meV/atom. The crystal system is orthorhombic. Its space group is Pmmm.


Computed, not measured: an optimized crystal structure of TbSc2PaAs4 at the GGA-PBE level of DFT.

a b c (Å): 4.0176 6.8742 6.9522
angles (deg): 70.35 90.00 90.00
Last column: nearest neighbours and their distance in Å.
Positions (direct):
1 Pa 0.0000 0.5000 0.5000  6 As 2.86-2.88
2 As 0.5000 0.7647 0.2465  3 Sc 2.76-2.78, 2 Pa 2.88, 1 Tb 2.89
3 As 0.5000 0.2353 0.7535  3 Sc 2.76-2.78, 2 Pa 2.88, 1 Tb 2.89
4 As 0.0000 0.7639 0.7420  3 Sc 2.77-2.79, 1 Pa 2.86, 2 Tb 2.89
5 As 0.0000 0.2361 0.2580  3 Sc 2.77-2.79, 1 Pa 2.86, 2 Tb 2.89
6 Sc 0.0000 0.0000 0.0000  6 As 2.78-2.79
7 Sc 0.5000 0.0000 0.5000  6 As 2.76-2.77
8 Tb 0.5000 0.5000 0.0000  6 As 2.89

The crystal system is monoclinic. For the energy, the calculation gives -7.0055 eV/atom. Its space group is P2/m.


Computed, not measured: an optimized crystal structure of Nd2Sm2Ru at the GGA-PBE level of DFT.

a b c (Å): 7.5320 7.1464 8.0960
angles (deg): 73.32 57.00 58.20
Last column: nearest neighbours and their distance in Å.
Positions (direct):
1 Ru 0.1279 0.7441 0.5000  2 Sm 2.70, 2 Nd 2.78
2 Ru 0.8721 0.2559 0.5000  2 Sm 2.70, 2 Nd 2.78
3 Sm 0.0223 0.5484 0.2531  1 Ru 2.70
4 Sm 0.9777 0.4516 0.7469  1 Ru 2.70
5 Sm 0.4294 0.5484 0.7469  1 Ru 2.70
6 Sm 0.5706 0.4516 0.2531  1 Ru 2.70
7 Nd 0.3490 0.0000 0.4083  2 Ru 2.78
8 Nd 0.1807 0.0000 0.0927  2 Ru 3.20, 1 Nd 3.41
9 Nd 0.6510 0.0000 0.5917  2 Ru 2.78
10 Nd 0.8193 0.0000 0.9073  2 Ru 3.20, 1 Nd 3.41

The crystal system is monoclinic. For the energy, the calculation gives -5.7599 eV/atom. Its space group is C2/m.


Computed, not measured: an optimized crystal structure of ZnCuRu2 at the GGA-PBE level of DFT.

a b c (Å): 4.6024 4.6024 4.7231
angles (deg): 80.77 80.77 33.57
Last column: nearest neighbours and their distance in Å.
Positions (direct):
1 Ru 0.9993 0.9993 0.0036  6 Ru 2.66-2.74, 3 Cu 2.66, 3 Zn 2.67-2.68
2 Ru 0.5007 0.5007 0.4964  6 Ru 2.66-2.74, 3 Cu 2.66, 3 Zn 2.67-2.68
3 Zn 0.7500 0.7500 0.7500  2 Zn 2.66, 6 Ru 2.67-2.68, 4 Cu 2.71
4 Cu 0.2500 0.2500 0.2500  2 Cu 2.66, 6 Ru 2.66, 4 Zn 2.71

The crystal system is monoclinic. For the energy, the calculation gives -5.7880 eV/atom. Its space group is C2/m.


Computed, not measured: an optimized crystal structure of SmU2ReC4 at the GGA-PBE level of DFT.

a b c (Å): 3.5872 6.0933 11.7112
angles (deg): 90.00 90.00 107.12
Last column: nearest neighbours and their distance in Å.
Positions (direct):
1 C 0.7427 0.4853 0.8808  1 Re 2.01
2 C 0.2573 0.5147 0.1192  1 Re 2.01
3 C 0.0000 0.0000 0.0000  4 U 2.39
4 C 0.7427 0.4853 0.6192  1 Re 2.01
5 C 0.0000 0.0000 0.5000  4 U 2.39
6 C 0.4389 0.8777 0.7500  2 Re 2.05
7 C 0.2573 0.5147 0.3808  1 Re 2.01
8 C 0.5611 0.1223 0.2500  2 Re 2.05
9 U 0.3713 0.7425 0.5440  6 C 2.33-2.54
10 U 0.6287 0.2575 0.4560  6 C 2.33-2.54
11 U 0.3713 0.7425 0.9560  6 C 2.33-2.54
12 U 0.6287 0.2575 0.0440  6 C 2.33-2.54
13 Re 0.8537 0.7074 0.7500  4 C 2.01-2.05
14 Re 0.1463 0.2926 0.2500  4 C 2.01-2.05
15 Sm 0.1163 0.2325 0.7500  6 C 2.74-2.78, 1 Re 3.06
16 Sm 0.8837 0.7675 0.2500  6 C 2.74-2.78, 1 Re 3.06

The crystal system is orthorhombic. For the energy, the calculation gives -9.6180 eV/atom. Its space group is Cmcm.


Computed, not measured: an optimized crystal structure of Tl3Te5Se12 at the GGA-PBE level of DFT.

a b c (Å): 15.1442 15.1442 15.1442
angles (deg): 109.47 109.47 109.47
Last column: nearest neighbours and their distance in Å.
Positions (direct):
1 Se 0.3819 0.9687 0.7939  2 Te 2.69-2.81
2 Se 0.6181 0.5868 0.9120  2 Te 2.69-2.81
3 Se 0.3819 0.4132 0.0880  2 Te 2.69-2.81
4 Se 0.9687 0.3819 0.2939  2 Te 2.69-2.81
5 Se 0.9132 0.0880 0.8819  2 Te 2.69-2.81
6 Se 0.2061 0.6748 0.0880  2 Te 2.69-2.81
7 Se 0.6748 0.4687 0.5868  2 Te 2.69-2.81
8 Se 0.5880 0.7061 0.6748  2 Te 2.69-2.81
9 Se 0.4132 0.0313 0.3252  2 Te 2.69-2.81
10 Se 0.4687 0.6748 0.0868  2 Te 2.69-2.81
11 Se 0.7061 0.5880 0.1748  2 Te 2.69-2.81
12 Se 0.9687 0.5868 0.1748  2 Te 2.69-2.81
13 Se 0.6181 0.0313 0.2061  2 Te 2.69-2.81
14 Se 0.9120 0.0868 0.6181  2 Te 2.69-2.81
15 Se 0.0880 0.1748 0.2061  2 Te 2.69-2.81
16 Se 0.8252 0.9132 0.0313  2 Te 2.69-2.81
17 Se 0.3252 0.7939 0.4120  2 Te 2.69-2.81
18 Se 0.9120 0.8252 0.7939  2 Te 2.69-2.81
19 Se 0.2939 0.4120 0.8252  2 Te 2.69-2.81
20 Se 0.1181 0.4120 0.0868  2 Te 2.69-2.81
21 Se 0.0313 0.6181 0.7061  2 Te 2.69-2.81
22 Se 0.0880 0.9132 0.3819  2 Te 2.69-2.81
23 Se 0.0313 0.4132 0.8252  2 Te 2.69-2.81
24 Se 0.1748 0.0868 0.9687  2 Te 2.69-2.81
25 Se 0.9132 0.8252 0.5313  2 Te 2.69-2.81
26 Se 0.5880 0.8819 0.4132  2 Te 2.69-2.81
27 Se 0.5313 0.3252 0.9132  2 Te 2.69-2.81
28 Se 0.5868 0.6181 0.4120  2 Te 2.69-2.81
29 Se 0.6748 0.2061 0.5880  2 Te 2.69-2.81
30 Se 0.3252 0.5313 0.4132  2 Te 2.69-2.81
31 Se 0.0868 0.9120 0.1181  2 Te 2.69-2.81
32 Se 0.8252 0.9120 0.2939  2 Te 2.69-2.81
33 Se 0.8819 0.5880 0.9132  2 Te 2.69-2.81
34 Se 0.4120 0.2939 0.3252  2 Te 2.69-2.81
35 Se 0.5868 0.9687 0.6748  2 Te 2.69-2.81
36 Se 0.8819 0.2939 0.4687  2 Te 2.69-2.81
37 Se 0.7061 0.1181 0.0313  2 Te 2.69-2.81
38 Se 0.1748 0.0880 0.7061  2 Te 2.69-2.81
39 Se 0.4687 0.7939 0.8819  2 Te 2.69-2.81
40 Se 0.4120 0.1181 0.5868  2 Te 2.69-2.81
41 Se 0.2939 0.8819 0.9687  2 Te 2.69-2.81
42 Se 0.7939 0.3252 0.9120  2 Te 2.69-2.81
43 Se 0.7939 0.4687 0.3819  2 Te 2.69-2.81
44 Se 0.4132 0.3819 0.5880  2 Te 2.69-2.81
45 Se 0.5313 0.2061 0.1181  2 Te 2.69-2.81
46 Se 0.0868 0.1748 0.4687  2 Te 2.69-2.81
47 Se 0.1181 0.7061 0.5313  2 Te 2.69-2.81
48 Se 0.2061 0.5313 0.6181  2 Te 2.69-2.81
49 Te 0.8750 0.6250 0.7500  4 Se 2.69
50 Te 0.7500 0.1250 0.8750  4 Se 2.69
51 Te 0.2500 0.3750 0.6250  4 Se 2.69
52 Te 0.0000 0.5000 0.5000  6 Se 2.81
53 Te 0.0000 0.0000 0.5000  6 Se 2.81
54 Te 0.7500 0.6250 0.3750  4 Se 2.69
55 Te 0.1250 0.7500 0.3750  4 Se 2.69
56 Te 0.8750 0.2500 0.6250  4 Se 2.69
57 Te 0.2500 0.8750 0.1250  4 Se 2.69
58 Te 0.5000 0.0000 0.0000  6 Se 2.81
59 Te 0.6250 0.7500 0.8750  4 Se 2.69
60 Te 0.5000 0.0000 0.5000  6 Se 2.81
61 Te 0.3750 0.2500 0.1250  4 Se 2.69
62 Te 0.1250 0.3750 0.2500  4 Se 2.69
63 Te 0.0000 0.5000 0.0000  6 Se 2.81
64 Te 0.6250 0.8750 0.2500  4 Se 2.69
65 Te 0.3750 0.1250 0.7500  4 Se 2.69
66 Te 0.5000 0.5000 0.5000  6 Se 2.81
67 Te 0.0000 0.0000 0.0000  6 Se 2.81
68 Te 0.5000 0.5000 0.0000  6 Se 2.81
69 Tl 0.1250 0.8750 0.7500  8 Se 3.39-3.40
70 Tl 0.6250 0.3750 0.7500  8 Se 3.39-3.40
71 Tl 0.3750 0.6250 0.2500  8 Se 3.39-3.40
72 Tl 0.6250 0.2500 0.3750  8 Se 3.39-3.40
73 Tl 0.2500 0.1250 0.3750  8 Se 3.39-3.40
74 Tl 0.1250 0.2500 0.8750  8 Se 3.39-3.40
75 Tl 0.8750 0.1250 0.2500  8 Se 3.39-3.40
76 Tl 0.7500 0.8750 0.6250  8 Se 3.39-3.40
77 Tl 0.2500 0.6250 0.8750  8 Se 3.39-3.40
78 Tl 0.3750 0.7500 0.6250  8 Se 3.39-3.40
79 Tl 0.7500 0.3750 0.1250  8 Se 3.39-3.40
80 Tl 0.8750 0.7500 0.1250  8 Se 3.39-3.40

The crystal system is cubic. Its space group is Ia-3d. Its formation energy (no corrections) is 0.0528 eV/atom.


Computed, not measured: an optimized crystal structure of Ir3Os at the GGA-PBE level of DFT.

a b c (Å): 2.7281 9.1087 2.7281
angles (deg): 98.61 60.00 98.61
Last column: nearest neighbours and their distance in Å.
Positions (direct):
1 Ir 0.2500 0.7500 0.2500  12 Ir 2.73-2.76
2 Ir 0.0011 0.0033 0.0011  3 Os 2.72, 9 Ir 2.73-2.76
3 Ir 0.4989 0.4967 0.4989  3 Os 2.72, 9 Ir 2.73-2.76
4 Os 0.7500 0.2500 0.7500  6 Ir 2.72, 6 Os 2.73

The crystal system is trigonal. For the energy, the calculation gives -9.4496 eV/atom. Its space group is R-3m.


Copy entry 3 word for word.
Computed, not measured: an optimized crystal structure of Pr4Er5Mg2 at the GGA-PBE level of DFT.

a b c (Å): 3.5182 11.6136 14.4632
angles (deg): 139.95 96.22 99.72
Last column: nearest neighbours and their distance in Å.
Positions (direct):
1 Pr 0.1499 0.7568 0.0593  4 Mg 3.44-3.59, 4 Pr 3.52-3.72, 3 Er 3.59-3.77
2 Pr 0.4222 0.5606 0.7304  5 Er 3.19-3.54, 1 Mg 3.44, 2 Pr 3.52
3 Pr 0.8501 0.2432 0.9407  4 Mg 3.44-3.59, 4 Pr 3.52-3.72, 3 Er 3.59-3.77
4 Pr 0.5778 0.4394 0.2696  5 Er 3.19-3.54, 1 Mg 3.44, 2 Pr 3.52
5 Mg 0.2890 0.3066 0.7744  4 Er 3.41-3.46, 5 Pr 3.44-3.59, 2 Mg 3.52
6 Mg 0.7110 0.6934 0.2256  4 Er 3.41-3.46, 5 Pr 3.44-3.59, 2 Mg 3.52
7 Er 0.9137 0.7510 0.6494  3 Pr 3.37-3.77, 6 Er 3.40-3.76
8 Er 0.5000 0.0000 0.0000  2 Pr 3.19, 4 Er 3.40-3.52
9 Er 0.0863 0.2490 0.3506  3 Pr 3.37-3.77, 6 Er 3.40-3.76
10 Er 0.4379 0.8830 0.5302  4 Mg 3.41-3.46, 5 Er 3.41-3.54, 3 Pr 3.53-3.59
11 Er 0.5621 0.1170 0.4698  4 Mg 3.41-3.46, 5 Er 3.41-3.54, 3 Pr 3.53-3.59

The crystal system is triclinic. For the energy, the calculation gives -4.0487 eV/atom. Its space group is P-1.